Material: K2TaSb
Method: DFT, PBE-GGA
State: optimized geometry

V	112	Å³/cell
uncorrected formation energy	0.753	eV per atom

a b c (Å): 4.345 4.348 5.929
angles (deg): 90.00 90.00 90.00
Atoms (fractional coordinates):
K: 0.000 0.000 0.000
Ta: 0.000 0.500 0.500
Sb: 0.500 0.000 0.500
K: 0.500 0.500 0.000



Material: Nd3Ir
Method: DFT, PBE-GGA
State: optimized geometry

V	934	Å³/cell
ΔE_f	-380	meV/atom

a b c (Å): 6.497 11.993 11.993
angles (deg): 90.00 90.00 90.00
Atoms (fractional coordinates):
Nd: 0.549 0.657 0.784
Nd: 0.555 0.363 0.920
Nd: 0.270 0.131 0.058
Ir: 0.751 0.311 0.430
Nd: 0.049 0.716 0.157
Nd: 0.770 0.558 0.369
Ir: 0.249 0.570 0.311
Ir: 0.751 0.689 0.570
Nd: 0.230 0.631 0.558
Nd: 0.230 0.369 0.442
Nd: 0.055 0.580 0.863
Nd: 0.549 0.343 0.216
Nd: 0.730 0.942 0.131
Nd: 0.445 0.920 0.637
Nd: 0.945 0.137 0.580
Nd: 0.951 0.843 0.716
Nd: 0.270 0.869 0.942
Nd: 0.951 0.157 0.284
Nd: 0.445 0.080 0.363
Nd: 0.945 0.863 0.420
Nd: 0.555 0.637 0.080
Nd: 0.451 0.784 0.343
Ir: 0.251 0.930 0.189
Ir: 0.251 0.070 0.811
Nd: 0.451 0.216 0.657
Ir: 0.749 0.811 0.930
Ir: 0.749 0.189 0.070
Nd: 0.770 0.442 0.631
Nd: 0.049 0.284 0.843
Nd: 0.055 0.420 0.137
Ir: 0.249 0.430 0.689
Nd: 0.730 0.058 0.869



Material: La8TcPb2
Method: DFT, PBE-GGA
State: optimized geometry

V	353	Å³/cell
ΔE_f	-256	meV/atom

a b c (Å): 5.852 7.188 9.518
angles (deg): 110.87 107.90 90.00
Atoms (fractional coordinates):
La: 0.606 0.391 0.212
La: 0.999 0.760 0.997
La: 0.369 0.117 0.739
La: 0.797 0.784 0.595
Pb: 0.816 0.315 0.631
La: 0.203 0.216 0.405
La: 0.001 0.240 0.003
La: 0.631 0.883 0.261
Tc: 0.500 0.000 0.000
Pb: 0.184 0.685 0.369
La: 0.394 0.609 0.788



Material: AuO
Method: DFT, PBE-GGA
State: optimized geometry

V	135	Å³/cell
uncorrected formation energy	0.571	eV per atom

a b c (Å): 5.128 5.128 5.128
angles (deg): 90.00 90.00 90.00
Atoms (fractional coordinates):
Au: 0.000 0.000 0.000
Au: 0.500 0.500 0.000
O: 0.750 0.250 0.750
O: 0.250 0.750 0.750
O: 0.750 0.750 0.250
O: 0.250 0.250 0.250
Au: 0.000 0.500 0.500
Au: 0.500 0.000 0.500



> The highest V belongs to which entry?

Nd3Ir



Repeat the third record exactly.
Material: La8TcPb2
Method: DFT, PBE-GGA
State: optimized geometry

V	353	Å³/cell
ΔE_f	-256	meV/atom

a b c (Å): 5.852 7.188 9.518
angles (deg): 110.87 107.90 90.00
Atoms (fractional coordinates):
La: 0.606 0.391 0.212
La: 0.999 0.760 0.997
La: 0.369 0.117 0.739
La: 0.797 0.784 0.595
Pb: 0.816 0.315 0.631
La: 0.203 0.216 0.405
La: 0.001 0.240 0.003
La: 0.631 0.883 0.261
Tc: 0.500 0.000 0.000
Pb: 0.184 0.685 0.369
La: 0.394 0.609 0.788